Record 1
Below is BaNa7Pb5 after structural relaxation, with properties calculated at the PBE-GGA level.

Unit cell a=6.911 b=8.547 c=8.547 alpha=81.38 beta=66.15 gamma=66.15
Element x y z (fractional)
1 Ba 0.028 0.972 0.972
2 Na 0.676 0.324 0.324
3 Na 0.360 0.640 0.640
4 Na 0.984 0.361 0.671
5 Na 0.984 0.671 0.361
6 Na 0.283 0.217 0.217
7 Na 0.500 0.786 0.213
8 Na 0.500 0.213 0.786
9 Pb 0.483 0.006 0.506
10 Pb 0.005 0.006 0.506
11 Pb 0.483 0.506 0.006
12 Pb 0.005 0.506 0.006
13 Pb 0.708 0.792 0.792

M_tot, μB/atom: 0.000
DFT formation energy, meV/atom: -176
Symmetry: Imm2 (44)
Uncorrected energy, eV/f.u.: -32.0

Record 2
Below is BaNa4Pb2 after structural relaxation, with properties calculated at the PBE-GGA level.

Unit cell a=5.149 b=4.982 c=10.313 alpha=103.98 beta=90.00 gamma=90.00
Element x y z (fractional)
1 Ba 0.000 0.000 0.000
2 Na 0.500 0.822 0.643
3 Na 0.000 0.674 0.349
4 Na 0.500 0.178 0.357
5 Na 0.000 0.326 0.651
6 Pb 0.500 0.574 0.149
7 Pb 0.500 0.426 0.851

M_tot, μB/atom: 0.000
DFT formation energy, meV/atom: -205
Symmetry: Cmmm (65)
Uncorrected energy, eV/f.u.: -16.1

Record 3
Below is Ba2Na6Pb3 after structural relaxation, with properties calculated at the PBE-GGA level.

Unit cell a=4.971 b=9.753 c=9.753 alpha=120.00 beta=90.00 gamma=90.00
Element x y z (fractional)
1 Ba 0.000 0.667 0.333
2 Ba 0.000 0.333 0.667
3 Na 0.500 0.718 0.718
4 Na 0.500 0.000 0.282
5 Na 0.000 0.206 0.206
6 Na 0.000 0.794 0.000
7 Na 0.500 0.282 0.000
8 Na 0.000 0.000 0.794
9 Pb 0.500 0.395 0.395
10 Pb 0.500 0.605 0.000
11 Pb 0.500 0.000 0.605

M_tot, μB/atom: 0.000
DFT formation energy, meV/atom: -171
Symmetry: P-62m (189)
Uncorrected energy, eV/f.u.: -24.8

Record 4
Below is BaNa6Pb4 after structural relaxation, with properties calculated at the PBE-GGA level.

Unit cell a=8.387 b=8.387 c=8.387 alpha=87.91 beta=121.21 gamma=121.21
Element x y z (fractional)
1 Ba 0.000 0.000 0.000
2 Na 0.000 0.891 0.517
3 Na 0.000 0.517 0.891
4 Na 0.626 0.109 0.109
5 Na 0.500 0.000 0.500
6 Na 0.374 0.483 0.483
7 Na 0.500 0.500 0.000
8 Pb 0.000 0.262 0.605
9 Pb 0.656 0.395 0.395
10 Pb 0.000 0.605 0.262
11 Pb 0.344 0.738 0.738

M_tot, μB/atom: 0.000
DFT formation energy, meV/atom: -95
Symmetry: I-42m (121)
Uncorrected energy, eV/f.u.: -25.7

Record 5
Below is Ba3Na2Pb9 after structural relaxation, with properties calculated at the PBE-GGA level.

Unit cell a=5.163 b=10.184 c=10.184 alpha=73.40 beta=75.32 gamma=75.32
Element x y z (fractional)
1 Ba 0.000 0.000 0.000
2 Ba 0.706 0.294 0.294
3 Ba 0.294 0.706 0.706
4 Na 0.500 0.326 0.674
5 Na 0.500 0.674 0.326
6 Pb 0.000 0.500 0.500
7 Pb 0.645 0.991 0.719
8 Pb 0.355 0.009 0.281
9 Pb 0.645 0.719 0.991
10 Pb 0.355 0.281 0.009
11 Pb 0.850 0.858 0.443
12 Pb 0.150 0.142 0.557
13 Pb 0.850 0.443 0.858
14 Pb 0.150 0.557 0.142

M_tot, μB/atom: 0.000
DFT formation energy, meV/atom: -339
Symmetry: Immm (71)
Uncorrected energy, eV/f.u.: -46.5

Record 6
Below is Ba2Na2Pb after structural relaxation, with properties calculated at the PBE-GGA level.

Unit cell a=5.369 b=6.939 c=13.220 alpha=86.26 beta=78.28 gamma=67.24
Element x y z (fractional)
1 Ba 0.677 0.309 0.337
2 Ba 0.946 0.254 0.853
3 Ba 0.323 0.691 0.663
4 Ba 0.054 0.746 0.147
5 Na 0.126 0.205 0.543
6 Na 0.633 0.839 0.896
7 Na 0.874 0.795 0.457
8 Na 0.367 0.161 0.104
9 Pb 0.607 0.109 0.677
10 Pb 0.393 0.891 0.323

M_tot, μB/atom: 0.000
DFT formation energy, meV/atom: -208
Symmetry: C2/m (12)
Excess energy over the best structure of this formula in the dataset, eV/atom: 0.000
Uncorrected energy, eV/f.u.: -11.2

Record 7
Below is BaNaPb4 after structural relaxation, with properties calculated at the PBE-GGA level.

Unit cell a=6.966 b=6.962 c=9.281 alpha=92.71 beta=87.36 gamma=108.95
Element x y z (fractional)
1 Ba 0.790 0.710 0.032
2 Ba 0.210 0.290 0.968
3 Na 0.500 0.000 0.500
4 Na 0.000 0.500 0.500
5 Pb 0.695 0.205 0.826
6 Pb 0.708 0.197 0.176
7 Pb 0.305 0.795 0.174
8 Pb 0.292 0.803 0.824
9 Pb 0.953 0.943 0.662
10 Pb 0.443 0.454 0.338
11 Pb 0.047 0.057 0.338
12 Pb 0.557 0.546 0.662

M_tot, μB/atom: 0.000
DFT formation energy, meV/atom: -252
Symmetry: P-1 (2)
Excess energy over the best structure of this formula in the dataset, eV/atom: 0.020
Uncorrected energy, eV/f.u.: -19.6

Record 8
Below is Ba2Na2Pb after structural relaxation, with properties calculated at the PBE-GGA level.

Unit cell a=9.502 b=9.502 c=5.523 alpha=90.00 beta=90.00 gamma=90.00
Element x y z (fractional)
1 Pb 0.000 0.000 0.000
2 Pb 0.500 0.500 0.000
3 Na 0.140 0.640 0.500
4 Na 0.640 0.860 0.500
5 Na 0.860 0.360 0.500
6 Na 0.360 0.140 0.500
7 Ba 0.336 0.836 0.000
8 Ba 0.836 0.664 0.000
9 Ba 0.664 0.164 0.000
10 Ba 0.164 0.336 0.000

M_tot, μB/atom: 0.000
DFT formation energy, meV/atom: 28
Symmetry: P4/mbm (127)
Excess energy over the best structure of this formula in the dataset, eV/atom: 0.237
Uncorrected energy, eV/f.u.: -10.0

Record 9
Below is Ba2NaPb7 after structural relaxation, with properties calculated at the PBE-GGA level.

Unit cell a=5.107 b=5.107 c=14.098 alpha=90.00 beta=90.00 gamma=90.00
Element x y z (fractional)
1 Ba 0.500 0.000 0.750
2 Ba 0.000 0.500 0.250
3 Na 0.500 0.500 0.000
4 Pb 0.000 0.500 0.861
5 Pb 0.500 0.000 0.356
6 Pb 0.500 0.000 0.139
7 Pb 0.000 0.500 0.644
8 Pb 0.000 0.000 0.500
9 Pb 0.000 0.000 0.000
10 Pb 0.500 0.500 0.500

M_tot, μB/atom: 0.000
DFT formation energy, meV/atom: -281
Symmetry: P-4m2 (115)
Uncorrected energy, eV/f.u.: -33.9

Record 10
Below is Ba2NaPb16 after structural relaxation, with properties calculated at the PBE-GGA level.

Unit cell a=8.773 b=8.773 c=8.773 alpha=81.44 beta=81.44 gamma=81.44
Element x y z (fractional)
1 Ba 0.657 0.657 0.657
2 Ba 0.338 0.338 0.338
3 Na 0.904 0.904 0.904
4 Pb 0.705 0.001 0.298
5 Pb 0.001 0.298 0.705
6 Pb 0.298 0.705 0.001
7 Pb 0.001 0.705 0.298
8 Pb 0.705 0.298 0.001
9 Pb 0.298 0.001 0.705
10 Pb 0.352 0.842 0.352
11 Pb 0.842 0.352 0.352
12 Pb 0.352 0.352 0.842
13 Pb 0.646 0.152 0.646
14 Pb 0.152 0.646 0.646
15 Pb 0.646 0.646 0.152
16 Pb 0.002 0.500 0.002
17 Pb 0.500 0.002 0.002
18 Pb 0.002 0.002 0.500
19 Pb 0.100 0.100 0.100

M_tot, μB/atom: 0.000
DFT formation energy, meV/atom: -149
Symmetry: R3m (160)
Uncorrected energy, eV/f.u.: -67.3

Record 11
Below is Ba2NaPd3Pb4 after structural relaxation, with properties calculated at the PBE-GGA level.

Unit cell a=4.948 b=4.948 c=11.486 alpha=90.00 beta=90.00 gamma=90.00
Element x y z (fractional)
1 Ba 0.500 0.000 0.247
2 Ba 0.000 0.500 0.753
3 Na 0.500 0.500 0.500
4 Pd 0.000 0.000 0.500
5 Pd 0.500 0.000 0.875
6 Pd 0.000 0.500 0.125
7 Pb 0.500 0.500 0.000
8 Pb 0.000 0.000 0.000
9 Pb 0.500 0.000 0.636
10 Pb 0.000 0.500 0.364

M_tot, μB/atom: 0.000
DFT formation energy, meV/atom: -403
Symmetry: P-4m2 (115)
Uncorrected energy, eV/f.u.: -39.6

Record 12
Below is BaNa2PdPb after structural relaxation, with properties calculated at the PBE-GGA level.

Unit cell a=5.503 b=5.503 c=5.357 alpha=90.00 beta=90.00 gamma=90.00
Site moments in Bohr magnetons follow the coordinates.
Element x y z (fractional)
1 Pb 0.000 0.000 0.500  0.01
2 Na 0.000 0.500 0.000  0.01
3 Na 0.500 0.000 0.000  0.01
4 Ba 0.500 0.500 0.500  0.05
5 Pd 0.000 0.000 0.000  0.00

M_tot, μB/atom: 0.062
DFT formation energy, meV/atom: -197
Symmetry: P4/mmm (123)
Uncorrected energy, eV/f.u.: -14.4

Record 13
Below is Ba2NaPdPb after structural relaxation, with properties calculated at the PBE-GGA level.

Unit cell a=6.137 b=6.137 c=5.329 alpha=90.00 beta=90.00 gamma=90.00
Element x y z (fractional)
1 Pb 0.500 0.500 0.500
2 Na 0.000 0.000 0.500
3 Ba 0.000 0.500 0.000
4 Ba 0.500 0.000 0.000
5 Pd 0.000 0.000 0.000

M_tot, μB/atom: 0.000
DFT formation energy, meV/atom: -254
Symmetry: P4/mmm (123)
Excess energy over the best structure of this formula in the dataset, eV/atom: 0.055
Uncorrected energy, eV/f.u.: -15.3

Record 14
Below is BaNaPdPb2 after structural relaxation, with properties calculated at the PBE-GGA level.

Unit cell a=5.434 b=5.434 c=5.418 alpha=90.00 beta=90.00 gamma=90.00
Element x y z (fractional)
1 Pb 0.000 0.500 0.000
2 Pb 0.500 0.000 0.000
3 Na 0.000 0.000 0.500
4 Ba 0.500 0.500 0.500
5 Pd 0.000 0.000 0.000

M_tot, μB/atom: 0.000
DFT formation energy, meV/atom: -280
Symmetry: P4/mmm (123)
Uncorrected energy, eV/f.u.: -17.3

Record 15
Below is Ba2NaPdPb after structural relaxation, with properties calculated at the PBE-GGA level.

Unit cell a=6.289 b=6.289 c=5.297 alpha=90.00 beta=90.00 gamma=90.00
Element x y z (fractional)
1 Pb 0.000 0.000 0.500
2 Na 0.500 0.500 0.500
3 Ba 0.000 0.500 0.000
4 Ba 0.500 0.000 0.000
5 Pd 0.000 0.000 0.000

M_tot, μB/atom: 0.051
DFT formation energy, meV/atom: -309
Symmetry: P4/mmm (123)
Excess energy over the best structure of this formula in the dataset, eV/atom: 0.000
Uncorrected energy, eV/f.u.: -15.6

Record 16
Below is BaNaPmPb after structural relaxation, with properties calculated at the PBE-GGA level.

Unit cell a=5.842 b=5.842 c=5.842 alpha=60.00 beta=60.00 gamma=60.00
Element x y z (fractional)
1 Pb 0.750 0.750 0.750
2 Na 0.250 0.250 0.250
3 Ba 0.500 0.500 0.500
4 Pm 0.000 0.000 0.000

M_tot, μB/atom: 0.000
DFT formation energy, meV/atom: -202
Symmetry: F-43m (216)
Uncorrected energy, eV/f.u.: -12.5

Record 17
Below is BaNaPrPb after structural relaxation, with properties calculated at the PBE-GGA level.

Unit cell a=5.874 b=5.874 c=5.874 alpha=60.00 beta=60.00 gamma=60.00
Element x y z (fractional)
1 Pb 0.500 0.500 0.500
2 Pr 0.750 0.750 0.750
3 Ba 0.250 0.250 0.250
4 Na 0.000 0.000 0.000

M_tot, μB/atom: 0.000
DFT formation energy, meV/atom: -224
Symmetry: F-43m (216)
Uncorrected energy, eV/f.u.: -12.6

Record 18
Below is Ba2NaPt4Pb3 after structural relaxation, with properties calculated at the PBE-GGA level.

Unit cell a=4.828 b=4.828 c=11.375 alpha=90.00 beta=90.00 gamma=90.00
Element x y z (fractional)
1 Ba 0.500 0.000 0.243
2 Ba 0.000 0.500 0.757
3 Na 0.500 0.500 0.500
4 Pt 0.500 0.500 0.000
5 Pt 0.000 0.000 0.000
6 Pt 0.500 0.000 0.637
7 Pt 0.000 0.500 0.363
8 Pb 0.000 0.000 0.500
9 Pb 0.500 0.000 0.880
10 Pb 0.000 0.500 0.120

M_tot, μB/atom: 0.000
DFT formation energy, meV/atom: -489
Symmetry: P-4m2 (115)
Uncorrected energy, eV/f.u.: -45.3

Record 19
Below is Ba2NaPtPb after structural relaxation, with properties calculated at the PBE-GGA level.

Unit cell a=6.104 b=6.104 c=5.407 alpha=90.00 beta=90.00 gamma=90.00
Site moments in Bohr magnetons follow the coordinates.
Element x y z (fractional)
1 Pb 0.500 0.500 0.500  0.07
2 Na 0.000 0.000 0.500  0.00
3 Ba 0.000 0.500 0.000  0.01
4 Ba 0.500 0.000 0.000  0.01
5 Pt 0.000 0.000 0.000  0.01

M_tot, μB/atom: 0.058
DFT formation energy, meV/atom: -361
Symmetry: P4/mmm (123)
Uncorrected energy, eV/f.u.: -16.7

Record 20
Below is BaNaPtPb after structural relaxation, with properties calculated at the PBE-GGA level.

Unit cell a=5.339 b=5.339 c=5.339 alpha=60.00 beta=60.00 gamma=60.00
Element x y z (fractional)
1 Pb 0.000 0.000 0.000
2 Na 0.750 0.750 0.750
3 Ba 0.500 0.500 0.500
4 Pt 0.250 0.250 0.250

M_tot, μB/atom: 0.000
DFT formation energy, meV/atom: -292
Symmetry: F-43m (216)
Uncorrected energy, eV/f.u.: -14.2